Record 1
Below is ReNCl2 at its PBEsol-relaxed geometry, with properties calculated at the SCAN level.

Unit cell a=6.4682 b=6.4682 c=6.4682 alpha=94.83 beta=94.83 gamma=146.25
Fractional positions:
Re (0.0000, 0.0000, 0.0000)
Re (0.7500, 0.2500, 0.5000)
N (0.2500, 0.7500, 0.5000)
N (0.5000, 0.5000, 0.0000)
Cl (0.3750, 0.0234, 0.1484)
Cl (0.7734, 0.6250, 0.6484)
Cl (0.8750, 0.2266, 0.8516)
Cl (0.9766, 0.1250, 0.3516)

Calculated values
E: -96.5 eV/f.u.
Uncorrected formation energy: -0.04 eV per atom



Record 2
Below is P2IrRu at its PBEsol-relaxed geometry, with properties calculated at the SCAN level.

Unit cell a=2.8896 b=3.0960 c=5.7329 alpha=90.00 beta=90.00 gamma=90.00
Fractional positions:
P (0.0000, 0.0000, 0.2450)
P (0.0000, 0.0000, 0.7550)
Ir (0.5000, 0.5000, 0.5000)
Ru (0.5000, 0.5000, 0.0000)

Calculated values
E: -126.5 eV/f.u.
E_form: 0.065 eV/atom